No. 1
Compound: Nd7Sm6
Source: Alexandria
Functional: PBE-GGA
Structure: optimized geometry

Calculated values
Calculated volume, Å³/cell: 455.1
SG: R-3m, No. 166
VASP energy, eV/atom: -4.51
Formation enthalpy at 0 K, meV per atom: 238

Cell: 12.197 12.197 12.197 Å, 32.09 32.09 32.09°
Atoms (fractional coordinates):
1 Nd 0.000 0.000 0.000
2 Nd 0.094 0.094 0.575
3 Nd 0.094 0.575 0.094
4 Nd 0.425 0.906 0.906
5 Nd 0.575 0.094 0.094
6 Nd 0.906 0.425 0.906
7 Nd 0.906 0.906 0.425
8 Sm 0.165 0.165 0.165
9 Sm 0.352 0.352 0.352
10 Sm 0.455 0.455 0.455
11 Sm 0.545 0.545 0.545
12 Sm 0.648 0.648 0.648
13 Sm 0.835 0.835 0.835

No. 2
Compound: CeBPt2
Source: Alexandria
Functional: PBE-GGA
Structure: optimized geometry

Calculated values
Calculated volume, Å³/cell: 207.2
SG: P6_422, No. 181
VASP energy, eV/atom: -7.05
Formation enthalpy at 0 K, meV per atom: -878

Cell: 5.482 5.482 7.958 Å, 90.00 90.00 120.00°
Atoms (fractional coordinates):
1 Ce 0.000 0.500 0.333
2 Ce 0.500 0.000 0.000
3 Ce 0.500 0.500 0.667
4 B 0.000 0.500 0.833
5 B 0.500 0.000 0.500
6 B 0.500 0.500 0.167
7 Pt 0.152 0.304 0.000
8 Pt 0.152 0.848 0.667
9 Pt 0.304 0.152 0.333
10 Pt 0.696 0.848 0.333
11 Pt 0.848 0.152 0.667
12 Pt 0.848 0.696 0.000

No. 3
Compound: PrEr6Tm12
Source: Alexandria
Functional: PBE-GGA
Structure: optimized geometry

Calculated values
Calculated volume, Å³/cell: 635.5
SG: R-3m, No. 166
VASP energy, eV/atom: -4.08
Formation enthalpy at 0 K, meV per atom: 440

Cell: 9.162 9.162 9.162 Å, 107.29 107.29 107.29°
Atoms (fractional coordinates):
1 Pr 0.000 0.000 0.000
2 Er 0.274 0.690 0.690
3 Er 0.310 0.310 0.726
4 Er 0.310 0.726 0.310
5 Er 0.690 0.274 0.690
6 Er 0.690 0.690 0.274
7 Er 0.726 0.310 0.310
8 Tm 0.111 0.500 0.889
9 Tm 0.111 0.889 0.500
10 Tm 0.135 0.360 0.360
11 Tm 0.360 0.135 0.360
12 Tm 0.360 0.360 0.135
13 Tm 0.500 0.111 0.889
14 Tm 0.500 0.889 0.111
15 Tm 0.640 0.640 0.865
16 Tm 0.640 0.865 0.640
17 Tm 0.865 0.640 0.640
18 Tm 0.889 0.111 0.500
19 Tm 0.889 0.500 0.111

No. 4
Compound: BaSnBN2
Source: Alexandria
Functional: PBE-GGA
Structure: optimized geometry

Calculated values
Calculated volume, Å³/cell: 107.3
SG: P4/mmm, No. 123
Formation energy from raw total energies, eV per formula unit: 11.254
VASP energy, eV/atom: -3.60

Cell: 4.589 4.589 5.093 Å, 90.00 90.00 90.00°
Atoms (fractional coordinates):
1 Ba 0.000 0.000 0.000
2 Sn 0.500 0.500 0.500
3 B 0.000 0.000 0.500
4 N 0.000 0.500 0.000
5 N 0.500 0.000 0.000

No. 5
Compound: CeZn10Pd2
Source: Alexandria
Functional: PBE-GGA
Structure: optimized geometry

Calculated values
Calculated volume, Å³/cell: 213.6
SG: Fmmm, No. 69
VASP energy, eV/atom: -2.50
Formation enthalpy at 0 K, meV per atom: -269

Cell: 8.890 6.883 6.802 Å, 81.02 49.89 49.09°
Atoms (fractional coordinates):
1 Ce 0.000 0.000 0.000
2 Zn 0.000 0.000 0.500
3 Zn 0.005 0.352 0.648
4 Zn 0.281 0.500 0.500
5 Zn 0.352 0.005 0.995
6 Zn 0.500 0.281 0.719
7 Zn 0.500 0.500 0.000
8 Zn 0.500 0.719 0.281
9 Zn 0.648 0.995 0.005
10 Zn 0.719 0.500 0.500
11 Zn 0.995 0.648 0.352
12 Pd 0.000 0.500 0.000
13 Pd 0.500 0.000 0.500

No. 6
Compound: Ca3GaN
Source: Alexandria
Functional: PBE-GGA
Structure: optimized geometry

Calculated values
Calculated volume, Å³/cell: 237.9
SG: C2/m, No. 12
Formation energy from raw total energies, eV per formula unit: -2.280
VASP energy, eV/atom: -3.93

Cell: 6.754 6.754 7.109 Å, 117.44 117.44 60.04°
Atoms (fractional coordinates):
1 Ca 0.082 0.082 0.240
2 Ca 0.083 0.575 0.241
3 Ca 0.425 0.917 0.759
4 Ca 0.575 0.083 0.241
5 Ca 0.917 0.425 0.759
6 Ca 0.918 0.918 0.760
7 Ga 0.422 0.422 0.766
8 Ga 0.578 0.578 0.234
9 N 0.168 0.168 0.002
10 N 0.832 0.832 0.998

No. 7
Compound: Pr9NdTm2
Source: Alexandria
Functional: PBE-GGA
Structure: optimized geometry

Calculated values
Calculated volume, Å³/cell: 420.1
SG: P4/mmm, No. 123
VASP energy, eV/atom: -4.71
Formation enthalpy at 0 K, meV per atom: 15

Cell: 5.191 5.191 15.593 Å, 90.00 90.00 90.00°
Atoms (fractional coordinates):
1 Pr 0.000 0.000 0.000
2 Pr 0.000 0.000 0.336
3 Pr 0.000 0.000 0.664
4 Pr 0.000 0.500 0.169
5 Pr 0.000 0.500 0.500
6 Pr 0.000 0.500 0.831
7 Pr 0.500 0.000 0.169
8 Pr 0.500 0.000 0.500
9 Pr 0.500 0.000 0.831
10 Nd 0.500 0.500 0.000
11 Tm 0.500 0.500 0.335
12 Tm 0.500 0.500 0.665

No. 8
Compound: YAlS2N
Source: Alexandria
Functional: PBE-GGA
Structure: optimized geometry

Calculated values
Calculated volume, Å³/cell: 120.2
SG: P4/mmm, No. 123
Formation energy from raw total energies, eV per formula unit: 1.271
VASP energy, eV/atom: -5.10

Cell: 5.294 5.294 4.289 Å, 90.00 90.00 90.00°
Atoms (fractional coordinates):
1 Y 0.000 0.000 0.000
2 Al 0.500 0.500 0.500
3 S 0.000 0.500 0.000
4 S 0.500 0.000 0.000
5 N 0.000 0.000 0.500

No. 9
Compound: YErTeAs
Source: Alexandria
Functional: PBE-GGA
Structure: optimized geometry

Calculated values
Calculated volume, Å³/cell: 107.4
SG: R3m, No. 160
Formation energy from raw total energies, eV per formula unit: -5.835
VASP energy, eV/atom: -6.16

Cell: 7.645 7.645 7.645 Å, 31.36 31.36 31.36°
Atoms (fractional coordinates):
1 Y 0.000 0.000 0.000
2 Er 0.810 0.810 0.810
3 Te 0.237 0.237 0.237
4 As 0.409 0.409 0.409

No. 10
Compound: MgSn2As2
Source: Alexandria
Functional: PBE-GGA
Structure: optimized geometry

Calculated values
Calculated volume, Å³/cell: 242.0
SG: P4/mbm, No. 127
VASP energy, eV/atom: -3.81
Formation enthalpy at 0 K, meV per atom: -27

Cell: 7.624 7.624 4.163 Å, 90.00 90.00 90.00°
Atoms (fractional coordinates):
1 Mg 0.000 0.000 0.000
2 Mg 0.500 0.500 0.000
3 Sn 0.145 0.355 0.500
4 Sn 0.355 0.855 0.500
5 Sn 0.645 0.145 0.500
6 Sn 0.855 0.645 0.500
7 As 0.176 0.676 0.000
8 As 0.324 0.176 0.000
9 As 0.676 0.824 0.000
10 As 0.824 0.324 0.000

No. 11
Compound: UIn5
Source: Alexandria
Functional: PBE-GGA
Structure: optimized geometry

Calculated values
Calculated volume, Å³/cell: 152.5
SG: Cmmm, No. 65
VASP energy, eV/atom: -4.08
Formation enthalpy at 0 K, meV per atom: 87

Cell: 7.460 7.460 4.689 Å, 90.00 90.00 144.24°
Atoms (fractional coordinates):
1 U 0.000 0.000 0.000
2 In 0.166 0.834 0.500
3 In 0.333 0.667 0.000
4 In 0.500 0.500 0.500
5 In 0.667 0.333 0.000
6 In 0.834 0.166 0.500